*A*
DFT (PBE) results for an optimized crystal structure of LuZnFeMo.

Mass density (g/cm3): 9.871
Volume (Å³/cell): 263.9
Magnetization (μB per cell): 13.4

Cell: 6.414 6.414 6.414 Å, 90.00 90.00 90.00°
Space group F-43m (No. 216)
One atom of each set of equivalent atoms:
Lu (0.000, 0.000, 0.000)
Zn (0.000, 0.000, 0.500)
Fe (0.250, 0.250, 0.750)
Mo (0.250, 0.250, 0.250)

---

*B*
DFT (PBE) results for an optimized crystal structure of LuZnFeMo.

Mass density (g/cm3): 10.363
Volume (Å³/cell): 251.4
Magnetization (μB per cell): 1.9

Cell: 6.311 6.311 6.311 Å, 90.00 90.00 90.00°
Space group F-43m (No. 216)
One atom of each set of equivalent atoms:
Lu (0.000, 0.000, 0.000)
Zn (0.250, 0.250, 0.250)
Fe (0.000, 0.000, 0.500)
Mo (0.250, 0.250, 0.750)

---

Computed energies relative to the best structure, in kJ/mol of atoms: *A* 12.8; *B* 0.0